Computed, not measured: a relaxed MnTlCd2Mo crystal at the GGA-PBE level of DFT.

Summary:
As for the space group: P4/mmm, No. 123. The calculation puts the total energy at -3.998 eV per atom. The calculated formation energy comes out at 0.841 eV/atom.

Cell and atoms, written as extended XYZ:
```
5
Lattice="-2.382 2.230 -4.063 -1.280 -3.872 -1.375 -4.368 0.447 2.806" Properties=species:S:1:pos:R:3 pbc="T T T"
Mo -0.640 -1.936 -0.687
Tl -4.015 -0.597 -1.316
Mn 0.000 0.000 0.000
Cd -2.184 0.224 1.403
Cd -1.191 1.115 -2.032
```

Computed, not measured: a relaxed Mn2CdMoW crystal at the GGA-PBE level of DFT.

Summary:
As for the space group: P4/mmm, No. 123. The calculation puts the total energy at -7.150 eV per atom. The calculated formation energy comes out at 1.457 eV/atom.

Cell and atoms, written as extended XYZ:
```
5
Lattice="4.683 0.000 0.000 0.000 4.731 0.000 0.000 0.000 4.683" Properties=species:S:1:pos:R:3 pbc="T T T"
Mn 0.000 0.000 2.341
Mn 2.341 0.000 0.000
Mo 0.000 0.000 0.000
Cd 2.341 2.366 2.341
W 0.000 2.366 0.000
```

Computed, not measured: a relaxed MnCd3N crystal at the GGA-PBE level of DFT.

Summary:
As for the space group: Pm-3m, No. 221. The calculation puts the total energy at -2.368 eV per atom. For the uncorrected formation energy, the calculation gives 1.680 eV per atom.

Cell and atoms, written as extended XYZ:
```
5
Lattice="5.129 0.000 0.000 0.000 5.129 0.000 0.000 0.000 5.129" Properties=species:S:1:pos:R:3 pbc="T T T"
N 2.565 2.565 2.565
Cd 0.000 2.565 0.000
Cd 0.000 0.000 2.565
Cd 2.565 0.000 0.000
Mn 0.000 0.000 0.000
```

Computed, not measured: a relaxed MnCdN crystal at the GGA-PBE level of DFT.

Summary:
As for the space group: P4/nmm, No. 129. The calculation puts the total energy at -5.379 eV per atom. For the uncorrected formation energy, the calculation gives 0.758 eV per atom.

Cell and atoms, written as extended XYZ:
```
6
Lattice="-0.522 -1.019 3.454 2.105 -2.918 -0.542 5.457 3.587 1.883" Properties=species:S:1:pos:R:3 pbc="T T T"
Cd 0.000 0.000 0.000
Cd 0.791 -1.968 1.456
Mn 4.490 0.800 0.915
Mn 1.759 0.818 2.424
N 3.236 1.789 2.934
N 3.012 -0.171 0.405
```

Computed, not measured: a relaxed MnCd4N2 crystal at the GGA-PBE level of DFT.

Summary:
As for the space group: I4/mmm, No. 139. The calculation puts the total energy at -3.522 eV per atom. For the uncorrected formation energy, the calculation gives 0.690 eV per atom.

Cell and atoms, written as extended XYZ:
```
7
Lattice="-0.278 -5.665 1.681 2.338 1.440 5.239 -5.273 -1.055 5.982" Properties=species:S:1:pos:R:3 pbc="T T T"
Cd -0.139 -2.832 0.840
Cd -2.699 -1.487 4.952
Cd 1.169 0.720 2.620
Cd -0.514 -3.793 7.950
Mn 0.000 0.000 0.000
N -3.727 -3.254 9.236
N 0.515 -2.026 3.666
```

Computed, not measured: a relaxed Mn5Cd3N12 crystal at the GGA-PBE level of DFT.

Summary:
As for the space group: Ia-3d, No. 230. The calculation puts the total energy at -6.950 eV per atom. For the uncorrected formation energy, the calculation gives 0.475 eV per atom.

Cell and atoms, written as extended XYZ:
```
80
Lattice="10.534 0.000 0.000 -3.511 9.931 0.000 -3.511 -4.966 8.601" Properties=species:S:1:pos:R:3 pbc="T T T"
N 5.325 2.908 3.413
N 0.058 3.039 3.488
N 4.177 1.415 7.789
N -3.453 3.985 8.525
N -1.397 -0.555 4.225
N -4.478 2.522 6.007
N 1.698 6.892 3.488
N 3.870 4.067 6.894
N -2.115 5.864 6.894
N -3.152 4.410 4.376
N -1.814 2.058 5.188
N 3.453 1.927 5.112
N 7.080 -2.058 5.188
N -0.359 0.898 1.707
N 4.478 -0.985 5.120
N 0.359 6.419 5.932
N 4.300 7.487 2.593
N 6.056 -3.507 7.713
N 7.688 4.961 1.631
N 2.115 1.454 2.669
N 4.177 -1.411 7.781
N 4.908 5.521 4.376
N 1.814 -1.927 5.112
N -0.789 -2.522 6.007
N -1.814 -3.985 8.525
N 1.397 3.512 5.932
N 1.090 1.411 7.781
N -0.967 5.950 3.481
N -4.177 0.005 6.969
N -2.545 8.472 0.887
N -0.666 3.550 0.812
N 5.626 -0.898 1.707
N 4.601 4.970 1.631
N 2.421 6.381 0.812
N 6.964 0.981 0.076
N 2.722 3.981 3.481
N -0.789 3.507 7.713
N 3.152 -1.454 2.669
N -0.666 6.376 0.820
N 7.989 2.444 2.593
N -1.090 -0.005 6.969
N 4.300 1.459 0.887
N -3.569 7.023 3.413
N 2.421 3.555 0.820
N 1.090 -1.415 7.789
N 5.325 8.950 0.076
N 0.789 0.985 5.120
N 6.663 0.555 4.225
Mn 2.633 7.448 2.150
Mn 0.878 -2.483 6.450
Mn 4.389 4.345 3.225
Mn -2.633 5.586 3.225
Mn -0.878 2.483 2.150
Mn -0.878 8.069 1.075
Mn -3.511 2.483 4.300
Mn 0.000 0.000 0.000
Mn -0.878 0.621 5.375
Mn -1.756 4.966 0.000
Mn 4.389 2.483 6.450
Mn 2.633 1.862 1.075
Mn -1.756 -2.483 4.300
Mn 6.145 -0.621 5.375
Mn 5.267 0.000 0.000
Mn 0.878 3.103 7.526
Mn 1.756 2.483 4.300
Mn 3.511 4.966 0.000
Mn 3.511 -2.483 4.300
Mn 4.389 -3.103 7.526
Cd -4.389 4.966 6.450
Cd -0.878 4.345 5.375
Cd -2.633 -1.862 7.526
Cd -2.633 1.862 7.526
Cd 2.633 0.000 6.450
Cd 7.900 0.000 2.150
Cd 2.633 5.586 5.375
Cd 6.145 3.103 1.075
Cd 4.389 0.621 3.225
Cd 0.878 4.966 2.150
Cd 0.878 -0.621 3.225
Cd 6.145 6.828 1.075
```

Computed, not measured: a relaxed MnCd3N crystal at the GGA-PBE level of DFT.

Summary:
As for the space group: Pm-3m, No. 221. The calculation puts the total energy at -3.304 eV per atom. For the uncorrected formation energy, the calculation gives 0.744 eV per atom.

Cell and atoms, written as extended XYZ:
```
5
Lattice="4.611 0.000 0.000 0.000 4.611 0.000 0.000 0.000 4.611" Properties=species:S:1:pos:R:3 pbc="T T T"
Cd 0.000 2.306 0.000
Cd 2.306 0.000 0.000
Cd 0.000 0.000 2.306
N 0.000 0.000 0.000
Mn 2.306 2.306 2.306
```

Computed, not measured: a relaxed MnCdNi2N crystal at the GGA-PBE level of DFT.

Summary:
As for the space group: P4/mmm, No. 123. The calculation puts the total energy at -6.076 eV per atom. For the uncorrected formation energy, the calculation gives -0.082 eV per atom.

Cell and atoms, written as extended XYZ:
```
5
Lattice="-1.104 -2.155 -3.103 1.745 -3.158 1.573 -3.301 -0.921 1.814" Properties=species:S:1:pos:R:3 pbc="T T T"
Cd -1.330 -3.117 0.142
Mn -1.650 -0.461 0.907
Ni 0.873 -1.579 0.786
Ni -0.552 -1.078 -1.552
N 0.000 0.000 0.000
```

no.,total magnetization (μB per cell)
1,1.2
2,5.8
3,3.7
4,7.6
5,4.3
6,18.8
7,4.2
8,3.2